{
  "formula": "ScCd5Pd6",
  "functional": "PBE",
  "state": "optimized geometry",
  "delta_e_f_ev_per_atom": -0.518,
  "spacegroup": "Cmmm, No. 65",
  "lattice": [[2.1622, -6.5107, 0.0000], [2.1622, 6.5107, 0.0000], [0.0000, 0.0000, 7.4562]],
  "species": ["Sc", "Cd", "Cd", "Cd", "Cd", "Cd", "Pd", "Pd", "Pd", "Pd", "Pd", "Pd"],
  "frac_coords": [[0.0000, 0.0000, 0.0000], [0.0000, 0.0000, 0.5000], [0.3308, 0.6692, 0.0000], [0.3344, 0.6656, 0.5000], [0.6656, 0.3344, 0.5000], [0.6692, 0.3308, 0.0000], [0.1642, 0.8358, 0.2484], [0.1642, 0.8358, 0.7516], [0.5000, 0.5000, 0.2403], [0.5000, 0.5000, 0.7597], [0.8358, 0.1642, 0.2484], [0.8358, 0.1642, 0.7516]]
}